Record 1
ScCoIN2: relaxed, PBE.

Cell and atoms, written as POSCAR:
```
ScCoIN2
1.0
4.057 0.000 0.000
0.000 4.057 0.000
0.000 0.000 6.187
Sc Co I N
1 1 1 2
direct
0.000 0.000 0.000
0.500 0.500 0.500
0.000 0.000 0.500
0.000 0.500 0.000
0.500 0.000 0.000
```

Summary:
polymorph energy (0 for the lowest one) = 140 meV per atom
calculated volume = 101.82 Å³/cell
M_tot = 2.83 μB/f.u.
calculated density = 4.22 g/cm³

Record 2
ScCoIN2: relaxed, PBE.

Cell and atoms, written as POSCAR:
```
ScCoIN2
1.0
3.916 0.000 0.000
0.000 3.916 0.000
0.000 0.000 5.057
Sc Co I N
1 1 1 2
direct
0.000 0.000 0.000
0.500 0.500 0.500
0.500 0.500 0.000
0.000 0.500 0.500
0.500 0.000 0.500
```

Summary:
polymorph energy (0 for the lowest one) = 0 meV per atom
calculated volume = 77.54 Å³/cell
M_tot = 2.96 μB/f.u.
calculated density = 5.54 g/cm³

Record 3
CoSe2IN: relaxed, PBE.

Cell and atoms, written as POSCAR:
```
CoSe2IN
1.0
5.463 0.000 0.000
0.000 5.463 0.000
0.000 0.000 3.910
Co Se I N
1 2 1 1
direct
0.000 0.000 0.000
0.000 0.500 0.500
0.500 0.000 0.500
0.500 0.500 0.500
0.500 0.500 0.000
```

Summary:
polymorph energy (0 for the lowest one) = 1082 meV per atom
calculated volume = 116.67 Å³/cell
M_tot = 2.95 μB/f.u.
calculated density = 5.09 g/cm³

Record 4
CoSe2IN: relaxed, PBE.

Cell and atoms, written as POSCAR:
```
CoSe2IN
1.0
5.131 0.000 0.000
0.000 5.131 0.000
0.000 0.000 3.476
Co Se I N
1 2 1 1
direct
0.000 0.000 0.000
0.000 0.500 0.000
0.500 0.000 0.000
0.500 0.500 0.500
0.000 0.000 0.500
```

Summary:
polymorph energy (0 for the lowest one) = 0 meV per atom
calculated volume = 91.52 Å³/cell
M_tot = 0.00 μB/f.u.
calculated density = 6.49 g/cm³

Record 5
CoSnIN2: relaxed, PBE.

Cell and atoms, written as POSCAR:
```
CoSnIN2
1.0
4.024 0.000 0.000
0.000 4.024 0.000
0.000 0.000 6.892
Co Sn I N
1 1 1 2
direct
0.000 0.000 0.000
0.500 0.500 0.500
0.500 0.500 0.000
0.000 0.500 0.500
0.500 0.000 0.500
```

Summary:
polymorph energy (0 for the lowest one) = 221 meV per atom
calculated volume = 111.62 Å³/cell
M_tot = 3.46 μB/f.u.
calculated density = 4.95 g/cm³

Record 6
CoSnIN2: relaxed, PBE.

Cell and atoms, written as POSCAR:
```
CoSnIN2
1.0
4.099 0.000 0.000
0.000 4.099 0.000
0.000 0.000 5.221
Co Sn I N
1 1 1 2
direct
0.000 0.000 0.000
0.500 0.500 0.500
0.000 0.000 0.500
0.000 0.500 0.000
0.500 0.000 0.000
```

Summary:
polymorph energy (0 for the lowest one) = 0 meV per atom
calculated volume = 87.74 Å³/cell
M_tot = 3.71 μB/f.u.
calculated density = 6.29 g/cm³

Record 7
SrCo2IN: relaxed, PBE.

Cell and atoms, written as POSCAR:
```
SrCo2IN
1.0
4.553 0.000 0.000
0.000 4.553 0.000
0.000 0.000 6.682
Sr Co I N
1 2 1 1
direct
0.000 0.000 0.000
0.000 0.500 0.500
0.500 0.000 0.500
0.000 0.000 0.500
0.500 0.500 0.000
```

Summary:
calculated volume = 138.51 Å³/cell
M_tot = 4.00 μB/f.u.
calculated density = 4.15 g/cm³
total energy = -18.78 eV for the cell shown

Record 8
SrCoI2N: relaxed, PBE.

Cell and atoms, written as POSCAR:
```
SrCoI2N
1.0
6.436 0.000 0.000
0.000 6.436 0.000
0.000 0.000 5.001
Sr Co I N
1 1 2 1
direct
0.000 0.000 0.000
0.500 0.500 0.500
0.000 0.500 0.000
0.500 0.000 0.000
0.000 0.000 0.500
```

Summary:
polymorph energy (0 for the lowest one) = 1060 meV per atom
calculated volume = 207.15 Å³/cell
M_tot = 5.22 μB/f.u.
calculated density = 3.32 g/cm³